[1]
Density functional theory data (PBE) for an optimized crystal structure of AgMoOs2.

Output
**SG**: No. 6

Cell and atoms, written as CIF:
```
data_AgMoOs2
_chemical_formula_sum 'Ag1 Mo1 Os2'
_symmetry_space_group_name_H-M 'P 1'
_symmetry_Int_Tables_number 1
_symmetry_space_group_name_Hall 'P 1'
_cell_length_a 2.763
_cell_length_b 3.979
_cell_length_c 5.635
_cell_angle_alpha 90.00
_cell_angle_beta 90.12
_cell_angle_gamma 90.00
loop_
_atom_site_label
_atom_site_type_symbol
_atom_site_fract_x
_atom_site_fract_y
_atom_site_fract_z
_atom_site_occupancy
Ag1 Ag 0.000 0.000 0.000 1
Mo1 Mo 0.502 0.500 0.273 1
Os1 Os 0.498 0.500 0.724 1
Os2 Os 0.997 0.000 0.510 1
```



[2]
Density functional theory data (PBE) for an optimized crystal structure of AgMo2Os.

Output
**SG**: No. 123

Cell and atoms, written as CIF:
```
data_AgMo2Os
_chemical_formula_sum 'Ag1 Mo2 Os1'
_symmetry_space_group_name_H-M 'P 1'
_symmetry_Int_Tables_number 1
_symmetry_space_group_name_Hall 'P 1'
_cell_length_a 3.927
_cell_length_b 3.927
_cell_length_c 4.035
_cell_angle_alpha 90.00
_cell_angle_beta 90.00
_cell_angle_gamma 90.00
loop_
_atom_site_label
_atom_site_type_symbol
_atom_site_fract_x
_atom_site_fract_y
_atom_site_fract_z
_atom_site_occupancy
Ag1 Ag 0.000 0.000 0.000 1
Mo1 Mo 0.000 0.500 0.500 1
Mo2 Mo 0.500 0.000 0.500 1
Os1 Os 0.500 0.500 0.000 1
```



[3]
Density functional theory data (PBE) for an optimized crystal structure of AgMoOs.

Output
**SG**: No. 216

Cell and atoms, written as CIF:
```
data_AgMoOs
_chemical_formula_sum 'Ag1 Mo1 Os1'
_symmetry_space_group_name_H-M 'P 1'
_symmetry_Int_Tables_number 1
_symmetry_space_group_name_Hall 'P 1'
_cell_length_a 4.302
_cell_length_b 4.302
_cell_length_c 4.302
_cell_angle_alpha 60.00
_cell_angle_beta 60.00
_cell_angle_gamma 60.00
loop_
_atom_site_label
_atom_site_type_symbol
_atom_site_fract_x
_atom_site_fract_y
_atom_site_fract_z
_atom_site_occupancy
Ag1 Ag 0.000 0.000 0.000 1
Mo1 Mo 0.500 0.500 0.500 1
Os1 Os 0.750 0.750 0.750 1
```



[4]
Density functional theory data (PBE) for an optimized crystal structure of AgMoOs2.

Output
**SG**: No. 99

Cell and atoms, written as CIF:
```
data_AgMoOs2
_chemical_formula_sum 'Ag1 Mo1 Os2'
_symmetry_space_group_name_H-M 'P 1'
_symmetry_Int_Tables_number 1
_symmetry_space_group_name_Hall 'P 1'
_cell_length_a 2.753
_cell_length_b 2.753
_cell_length_c 8.240
_cell_angle_alpha 90.00
_cell_angle_beta 90.00
_cell_angle_gamma 90.00
loop_
_atom_site_label
_atom_site_type_symbol
_atom_site_fract_x
_atom_site_fract_y
_atom_site_fract_z
_atom_site_occupancy
Ag1 Ag 0.000 0.000 0.000 1
Mo1 Mo 0.500 0.500 0.266 1
Os1 Os 0.000 0.000 0.524 1
Os2 Os 0.500 0.500 0.732 1
```



[5]
Density functional theory data (PBE) for an optimized crystal structure of AgMoOs2.

Output
**SG**: No. 123

Cell and atoms, written as CIF:
```
data_AgMoOs2
_chemical_formula_sum 'Ag1 Mo1 Os2'
_symmetry_space_group_name_H-M 'P 1'
_symmetry_Int_Tables_number 1
_symmetry_space_group_name_Hall 'P 1'
_cell_length_a 2.774
_cell_length_b 2.774
_cell_length_c 8.116
_cell_angle_alpha 90.00
_cell_angle_beta 90.00
_cell_angle_gamma 90.00
loop_
_atom_site_label
_atom_site_type_symbol
_atom_site_fract_x
_atom_site_fract_y
_atom_site_fract_z
_atom_site_occupancy
Ag1 Ag 0.000 0.000 0.000 1
Mo1 Mo 0.000 0.000 0.500 1
Os1 Os 0.500 0.500 0.268 1
Os2 Os 0.500 0.500 0.732 1
```



[6]
Density functional theory data (PBE) for an optimized crystal structure of AgMoOs2.

Output
**SG**: No. 8

Cell and atoms, written as CIF:
```
data_AgMoOs2
_chemical_formula_sum 'Ag1 Mo1 Os2'
_symmetry_space_group_name_H-M 'P 1'
_symmetry_Int_Tables_number 1
_symmetry_space_group_name_Hall 'P 1'
_cell_length_a 4.904
_cell_length_b 4.904
_cell_length_c 4.832
_cell_angle_alpha 99.97
_cell_angle_beta 99.97
_cell_angle_gamma 32.73
loop_
_atom_site_label
_atom_site_type_symbol
_atom_site_fract_x
_atom_site_fract_y
_atom_site_fract_z
_atom_site_occupancy
Ag1 Ag 0.000 0.000 0.000 1
Mo1 Mo 0.238 0.238 0.735 1
Os1 Os 0.491 0.491 0.494 1
Os2 Os 0.762 0.762 0.273 1
```



[7]
Density functional theory data (PBE) for an optimized crystal structure of AgMo2Os.

Output
**SG**: No. 99

Cell and atoms, written as CIF:
```
data_AgMo2Os
_chemical_formula_sum 'Ag1 Mo2 Os1'
_symmetry_space_group_name_H-M 'P 1'
_symmetry_Int_Tables_number 1
_symmetry_space_group_name_Hall 'P 1'
_cell_length_a 3.264
_cell_length_b 3.264
_cell_length_c 6.076
_cell_angle_alpha 90.00
_cell_angle_beta 90.00
_cell_angle_gamma 90.00
loop_
_atom_site_label
_atom_site_type_symbol
_atom_site_fract_x
_atom_site_fract_y
_atom_site_fract_z
_atom_site_occupancy
Ag1 Ag 0.000 0.000 0.000 1
Mo1 Mo 0.000 0.000 0.511 1
Mo2 Mo 0.500 0.500 0.275 1
Os1 Os 0.500 0.500 0.724 1
```



[8]
Density functional theory data (PBE) for an optimized crystal structure of AgMo2Os.

Output
**SG**: No. 35

Cell and atoms, written as CIF:
```
data_AgMo2Os
_chemical_formula_sum 'Ag1 Mo2 Os1'
_symmetry_space_group_name_H-M 'P 1'
_symmetry_Int_Tables_number 1
_symmetry_space_group_name_Hall 'P 1'
_cell_length_a 2.711
_cell_length_b 2.711
_cell_length_c 9.315
_cell_angle_alpha 90.00
_cell_angle_beta 90.00
_cell_angle_gamma 110.20
loop_
_atom_site_label
_atom_site_type_symbol
_atom_site_fract_x
_atom_site_fract_y
_atom_site_fract_z
_atom_site_occupancy
Ag1 Ag 0.000 0.000 0.000 1
Mo1 Mo 0.000 0.000 0.496 1
Mo2 Mo 0.500 0.500 0.735 1
Os1 Os 0.500 0.500 0.265 1
```



How do the records compare in energy relative to the lowest polymorph listed for this composition? In the order shown, they have 15.5; 14.2; 60.4; 8.5; 18.2; 18.5; 21.8; 10.7 kJ per mole of atoms.
How do the records compare in raw total energy? In the order shown, they have -8.601; -8.507; -7.368; -8.674; -8.574; -8.571; -8.428; -8.543 eV per atom.